No. 1
Material: CaMnAl2
Method: DFT, PBE-GGA
State: optimized geometry

The space group is I-42d (No. 122) and the conventional cell measures 4.808, 4.808 and 17.806 Å, with angles of 90.00, 90.00 and 90.00 degrees. The distinct sites, in fractional coordinates, are Ca at (0.000, 0.000, 0.000), Mn at (0.000, 0.000, 0.500) and Al at (0.087, 0.250, 0.625).

The size of the total moment comes out at 0.838 μB/atom. The value obtained for the energy of formation is 0.3343 eV/atom.



No. 2
Material: CaMn2Al
Method: DFT, PBE-GGA
State: optimized geometry

The space group is C2/m (No. 12) and the conventional cell measures 5.952, 9.230 and 2.892 Å, with angles of 90.00, 112.64 and 90.00 degrees. The distinct sites, in fractional coordinates, are Ca at (0.000, 0.000, 0.000), Mn at (0.250, 0.250, 0.500) and Al at (0.000, 0.500, 0.000).

The size of the total moment comes out at 1.650 μB/atom. The value obtained for the energy of formation is 0.4578 eV/atom.